1.
Below is a relaxed structure of ZrTlTe2, with properties calculated at the PBE level.

```
ZrTlTe2
1.0
4.156 0.000 0.000
0.000 2.587 6.511
0.000 -2.587 6.511
Zr Tl Te
1 1 2
Direct
0.000 0.000 0.000
0.500 0.804 0.804
0.000 0.422 0.422
0.500 0.148 0.148
```

Computed properties:
space-group type = Amm2, No. 38

---

2.
Below is a relaxed structure of ZrTlTe, with properties calculated at the PBE level.

```
ZrTlTe
1.0
0.000 2.652 7.609
2.110 0.000 7.609
2.110 2.652 0.000
Zr Tl Te
1 1 1
Direct
0.000 0.000 0.000
0.654 0.654 0.346
0.374 0.374 0.626
```

Computed properties:
space-group type = Fmm2, No. 42
polymorph energy (0 for the lowest one) = 255 meV/atom

---

3.
Below is a relaxed structure of ZrTl2Te, with properties calculated at the PBE level.

```
ZrTl2Te
1.0
1.912 -2.804 0.000
1.912 2.804 0.000
0.000 0.000 9.913
Zr Tl Te
1 2 1
Direct
0.000 0.000 0.000
0.500 0.500 0.241
0.500 0.500 0.759
0.000 0.000 0.500
```

Computed properties:
space-group type = Cmmm, No. 65
polymorph energy (0 for the lowest one) = 464 meV/atom

---

4.
Below is a relaxed structure of ZrTlTe2, with properties calculated at the PBE level.

```
ZrTlTe2
1.0
-3.801 3.801 6.031
3.801 -3.801 6.031
3.801 3.801 -6.031
Zr Tl Te
2 2 4
Direct
0.000 0.000 0.000
0.750 0.250 0.500
0.250 0.750 0.500
0.500 0.500 0.000
0.061 0.625 0.936
0.375 0.311 0.436
0.689 0.125 0.064
0.875 0.939 0.564
```

Computed properties:
space-group type = I-42d, No. 122

---

5.
Below is a relaxed structure of ZrTlTe2, with properties calculated at the PBE level.

```
ZrTlTe2
1.0
-4.340 4.340 3.572
4.340 -4.340 3.572
4.340 4.340 -3.572
Zr Tl Te
2 2 4
Direct
0.250 0.750 0.500
0.750 0.250 0.500
0.250 0.250 0.000
0.750 0.750 0.000
0.180 0.680 0.859
0.320 0.180 0.500
0.680 0.820 0.500
0.820 0.320 0.141
```

Computed properties:
space-group type = I4/mcm, No. 140

---

6.
Below is a relaxed structure of ZrTl2Te, with properties calculated at the PBE level.

```
ZrTl2Te
1.0
4.217 0.000 0.000
0.000 4.228 0.000
0.000 0.000 6.028
Zr Tl Te
1 2 1
Direct
0.000 0.000 0.000
0.500 0.500 0.240
0.500 0.500 0.760
0.000 0.000 0.500
```

Computed properties:
space-group type = Pmmm, No. 47
polymorph energy (0 for the lowest one) = 308 meV/atom

---

7.
Below is a relaxed structure of ZrTlTe4, with properties calculated at the PBE level.

```
ZrTlTe4
1.0
0.000 4.494 4.494
4.494 0.000 4.494
4.494 4.494 0.000
Zr Tl Te
1 1 4
Direct
0.000 0.000 0.000
0.250 0.250 0.250
0.122 0.626 0.626
0.626 0.122 0.626
0.626 0.626 0.122
0.626 0.626 0.626
```

Computed properties:
space-group type = F-43m, No. 216
polymorph energy (0 for the lowest one) = 909 meV/atom

---

8.
Below is a relaxed structure of ZrTl2Te, with properties calculated at the PBE level.

```
ZrTl2Te
1.0
5.430 -1.820 0.000
5.430 1.820 0.000
-0.642 0.000 5.512
Zr Tl Te
1 2 1
Direct
0.000 0.000 0.000
0.530 0.530 0.523
0.778 0.778 0.327
0.288 0.288 0.861
```

Computed properties:
space-group type = Cm, No. 8
polymorph energy (0 for the lowest one) = 183 meV/atom

---

Per-record magnetic moment, Bohr magnetons per cell: 0.00 0.00 0.00 2.00 1.27 0.00 2.13 0.00
Per-record energy relative to the elements, uncorrected, meV/atom: -396 -155 205 -342 -480 49 449 -77